Record 1
The following is a PBE calculation of Lu2MgOs after structural relaxation, from the Open Quantum Materials Database.

```
Lu2MgOs
1.0
4.9216 0.0000 0.0000
-2.4608 4.2622 0.0000
0.0000 0.0000 8.3702
Lu Mg Os
4 2 2
direct
0.3333 0.6667 0.0775
0.3333 0.6667 0.4225
0.6667 0.3333 0.5775
0.6667 0.3333 0.9225
0.0000 0.0000 0.2500
0.0000 0.0000 0.7500
0.3333 0.6667 0.7500
0.6667 0.3333 0.2500
```

Computed properties:
relative energy among the computed polymorphs: 0.00 kcal/mol of atoms
crystal system: hexagonal
SG: P6_3/mmc

***

Record 2
The following is a PBE calculation of LuMgOs after structural relaxation, from the Open Quantum Materials Database.

```
LuMgOs
1.0
0.0000 3.1566 3.1566
3.1566 0.0000 3.1566
3.1566 3.1566 0.0000
Lu Mg Os
1 1 1
direct
0.0000 0.0000 0.0000
0.2500 0.2500 0.2500
0.5000 0.5000 0.5000
```

Computed properties:
total energy: -0.1898 Ha/atom
crystal system: cubic
SG: F-43m

***

Record 3
The following is a PBE calculation of Lu2MgOs after structural relaxation, from the Open Quantum Materials Database.

```
Lu2MgOs
1.0
4.3637 0.0000 0.0000
-2.1818 3.7791 0.0000
0.0000 0.0000 12.3132
Lu Mg Os
4 2 2
direct
0.3333 0.6667 0.0893
0.3333 0.6667 0.4107
0.6667 0.3333 0.5893
0.6667 0.3333 0.9107
0.3333 0.6667 0.7500
0.6667 0.3333 0.2500
0.0000 0.0000 0.0000
0.0000 0.0000 0.5000
```

Computed properties:
relative energy among the computed polymorphs: 6.34 kcal/mol of atoms
crystal system: hexagonal
SG: P6_3/mmc

***

Record 4
The following is a PBE calculation of Lu2MgOs3 after structural relaxation, from the Open Quantum Materials Database.

```
Lu2MgOs3
1.0
5.3257 0.0000 0.0000
-2.6629 4.6122 0.0000
0.0000 0.0000 8.8154
Lu Mg Os
4 2 6
direct
0.3333 0.6667 0.0708
0.3333 0.6667 0.4292
0.6667 0.3333 0.5708
0.6667 0.3333 0.9292
0.0000 0.0000 0.0000
0.0000 0.0000 0.5000
0.1708 0.3416 0.7500
0.1708 0.8292 0.7500
0.3416 0.1708 0.2500
0.6584 0.8292 0.7500
0.8292 0.1708 0.2500
0.8292 0.6584 0.2500
```

Computed properties:
total energy: -0.2800 Ha/atom
crystal system: hexagonal
SG: P6_3/mmc